# Hg2MoCl

A crystal of Hg2MoCl relaxed with PBEsol (SCAN, Alexandria via LeMat-Bulk).

raw formation energy = 129.0 kJ/mol of formula units
space-group type = R-3m, No. 166
E above lowest polymorph = 0.000 eV/atom
density of states at the Fermi level = 0.376 states/eV per atom

Cell: 8.9570 8.9570 8.9570 Å, 20.45 20.45 20.45°
With the nearest neighbours (Å) after each atom.
Element x y z (fractional)
Hg (0.2486, 0.2486, 0.2486)  3 Mo 2.83, 3 Cl 2.89
Hg (0.7514, 0.7514, 0.7514)  3 Mo 2.83, 3 Cl 2.89
Mo (0.5000, 0.5000, 0.5000)  6 Hg 2.83
Cl (0.0000, 0.0000, 0.0000)  6 Hg 2.89, 6 Cl 3.18

# Na5Mn3S4O16F4

A crystal of Na5Mn3S4O16F4 relaxed with PBEsol (SCAN, Alexandria via LeMat-Bulk).

raw formation energy = -6642.2 kJ/mol of formula units
space-group type = P-1, No. 2
density of states at the Fermi level = 0.102 states/eV per atom

Cell: 6.5608 6.6670 8.9984 Å, 94.67 96.59 92.28°
With the nearest neighbours (Å) after each atom.
Element x y z (fractional)
Na (0.0000, 0.0000, 0.0000)  2 F 2.26, 4 O 2.43-2.44
Na (0.2341, 0.5116, 0.6612)  4 O 2.36-2.44, 1 F 2.38
Na (0.4665, 0.7374, 0.0161)  3 F 2.29-2.37, 3 O 2.38-2.55
Na (0.5335, 0.2626, 0.9839)  3 F 2.29-2.37, 3 O 2.38-2.55
Na (0.7659, 0.4884, 0.3388)  4 O 2.36-2.44, 1 F 2.38
Mn (0.0000, 0.5000, 0.0000)  2 F 1.87, 2 O 1.95
Mn (0.2267, 0.8374, 0.3561)  5 O 2.10-2.23, 1 F 2.11
Mn (0.7733, 0.1626, 0.6439)  5 O 2.10-2.23, 1 F 2.11
S (0.2450, 0.3421, 0.2818)  4 O 1.46-1.53
S (0.2781, 0.0472, 0.6981)  4 O 1.48-1.49
S (0.7219, 0.9528, 0.3019)  4 O 1.48-1.49
S (0.7550, 0.6579, 0.7182)  4 O 1.46-1.53
O (0.0673, 0.3169, 0.1551)  1 S 1.53
O (0.0966, 0.1690, 0.6613)  1 S 1.49
O (0.1968, 0.5104, 0.3900)  1 S 1.49
O (0.2452, 0.1524, 0.3532)  1 S 1.46
O (0.2621, 0.8591, 0.5952)  1 S 1.49
O (0.2942, 0.9960, 0.8560)  1 S 1.48
O (0.4353, 0.3868, 0.2190)  1 S 1.46
O (0.4618, 0.1769, 0.6771)  1 S 1.49
O (0.5382, 0.8231, 0.3229)  1 S 1.49
O (0.5647, 0.6132, 0.7810)  1 S 1.46
O (0.7058, 0.0040, 0.1440)  1 S 1.48
O (0.7379, 0.1409, 0.4048)  1 S 1.49
O (0.7548, 0.8476, 0.6468)  1 S 1.46
O (0.8032, 0.4896, 0.6100)  1 S 1.49
O (0.9034, 0.8310, 0.3387)  1 S 1.49
O (0.9327, 0.6831, 0.8449)  1 S 1.53
F (0.1665, 0.7606, 0.1224)  2 Mn 2.11-2.16, 2 Na 2.26-2.29
F (0.2468, 0.4570, 0.9201)  1 Mn 1.87
F (0.7532, 0.5430, 0.0799)  1 Mn 1.87
F (0.8335, 0.2394, 0.8776)  2 Mn 2.11-2.16, 2 Na 2.26-2.29